Entry 1:
Here is crystalline Dy2Er3Lu2Te2Ir2 at its relaxed geometry from the Open Quantum Materials Database. Energies are from PBE.

a b c (Å): 9.2944 9.2944 9.2944
angles (deg): 155.68 66.14 119.55
Element x y z (fractional)
Dy1 0.1467 0.0000 0.1467
Dy2 0.8533 0.0000 0.8533
Er1 0.4534 0.6372 0.8161
Er2 0.7654 0.2654 0.5000
Er3 0.8211 0.6372 0.1839
Lu1 0.2165 0.8494 0.3671
Lu2 0.4823 0.8494 0.6329
Te1 0.1066 0.6066 0.5000
Te2 0.4993 0.4993 0.0000
Ir1 0.0763 0.3362 0.7402
Ir2 0.5960 0.3362 0.2598

Output
crystal system	orthorhombic
symmetry	No. 44
ρ	10.568	g/cm³
polymorph energy (0 for the lowest one)	11	meV per atom
final energy	-6.0117	eV per atom



Entry 2:
Here is crystalline Tm2UP at its relaxed geometry from the Open Quantum Materials Database. Energies are from PBE.

a b c (Å): 4.1303 4.1303 5.9128
angles (deg): 90.00 90.00 90.00
Element x y z (fractional)
Tm1 0.0000 0.0000 0.0000
Tm2 0.5000 0.5000 0.5000
U1 0.0000 0.0000 0.5000
P1 0.5000 0.5000 0.0000

Output
crystal system	tetragonal
symmetry	No. 123
ρ	9.990	g/cm³
final energy	-5.9355	eV per atom



Entry 3:
Here is crystalline PaAlPO at its relaxed geometry from the Open Quantum Materials Database. Energies are from PBE.

a b c (Å): 3.9116 4.7105 7.0476
angles (deg): 90.00 90.00 90.00
Element x y z (fractional)
Pa1 0.0000 0.1685 0.0000
Pa2 0.0000 0.8315 0.5000
Al1 0.5000 0.3400 0.3475
Al2 0.5000 0.6600 0.8475
P1 0.5000 0.1689 0.6985
P2 0.5000 0.8311 0.1985
O1 0.0000 0.3250 0.3506
O2 0.0000 0.6750 0.8506

Output
crystal system	orthorhombic
symmetry	No. 26
ρ	7.800	g/cm³
polymorph energy (0 for the lowest one)	0	meV per atom
final energy	-6.9794	eV per atom



Entry 4:
Here is crystalline CdCuIrW at its relaxed geometry from the Open Quantum Materials Database. Energies are from PBE.

a b c (Å): 4.4405 4.4405 4.4405
angles (deg): 60.00 60.00 60.00
Element x y z (fractional)
Cd1 0.0000 0.0000 0.0000
Cu1 0.2500 0.2500 0.2500
Ir1 0.7500 0.7500 0.7500
W1 0.5000 0.5000 0.5000

Output
crystal system	cubic
symmetry	No. 216
ρ	14.806	g/cm³
formation enthalpy at 0 K	0.259	eV/atom
polymorph energy (0 for the lowest one)	0	meV per atom
final energy	-6.3481	eV per atom



Entry 5:
Here is crystalline LiHgPO at its relaxed geometry from the Open Quantum Materials Database. Energies are from PBE.

a b c (Å): 3.2432 7.3854 5.5822
angles (deg): 90.00 90.00 90.00
Element x y z (fractional)
Li1 0.0000 0.0870 0.0000
Li2 0.0000 0.9130 0.5000
Hg1 0.5000 0.3139 0.3595
Hg2 0.5000 0.6861 0.8595
P1 0.5000 0.3603 0.8442
P2 0.5000 0.6397 0.3442
O1 0.0000 0.1111 0.3220
O2 0.0000 0.8889 0.8220

Output
crystal system	orthorhombic
symmetry	No. 26
ρ	6.322	g/cm³
polymorph energy (0 for the lowest one)	154	meV per atom
final energy	-3.4409	eV per atom



Entry 6:
Here is crystalline YHoAl at its relaxed geometry from the Open Quantum Materials Database. Energies are from PBE.

a b c (Å): 6.5438 5.0936 9.4573
angles (deg): 90.00 90.00 90.00
Element x y z (fractional)
Y1 0.1875 0.2500 0.0728
Y2 0.3125 0.7500 0.5728
Y3 0.6875 0.2500 0.4272
Y4 0.8125 0.7500 0.9272
Ho1 0.0274 0.2500 0.7100
Ho2 0.4726 0.7500 0.2100
Ho3 0.5274 0.2500 0.7900
Ho4 0.9726 0.7500 0.2900
Al1 0.2079 0.2500 0.3970
Al2 0.2921 0.7500 0.8970
Al3 0.7079 0.2500 0.1030
Al4 0.7921 0.7500 0.6030

Output
crystal system	orthorhombic
symmetry	No. 62
ρ	5.917	g/cm³
polymorph energy (0 for the lowest one)	0	meV per atom
final energy	-5.2348	eV per atom



Entry 7:
Here is crystalline Zr4GaGeN2 at its relaxed geometry from the Open Quantum Materials Database. Energies are from PBE.

a b c (Å): 3.2770 3.2770 13.8443
angles (deg): 90.00 90.00 120.00
Element x y z (fractional)
Zr1 0.0000 0.0000 0.1551
Zr2 0.0000 0.0000 0.8449
Zr3 0.6667 0.3333 0.3390
Zr4 0.6667 0.3333 0.6610
Ga1 0.0000 0.0000 0.5000
Ge1 0.6667 0.3333 0.0000
N1 0.3333 0.6667 0.2484
N2 0.3333 0.6667 0.7516

Output
crystal system	hexagonal
symmetry	No. 187
ρ	6.903	g/cm³
final energy	-8.4593	eV per atom



Entry 8:
Here is crystalline Pm5Co2Ag at its relaxed geometry from the Open Quantum Materials Database. Energies are from PBE.

a b c (Å): 8.7042 8.7042 8.7042
angles (deg): 127.06 127.06 78.15
Element x y z (fractional)
Pm1 0.0000 0.0000 0.0000
Pm2 0.0283 0.5283 0.8218
Pm3 0.2065 0.0283 0.5000
Pm4 0.2935 0.7935 0.8218
Pm5 0.4717 0.2935 0.5000
Pm6 0.5000 0.5000 0.0000
Pm7 0.5283 0.7065 0.5000
Pm8 0.7065 0.2065 0.1782
Pm9 0.7935 0.9717 0.5000
Pm10 0.9717 0.4717 0.1782
Co1 0.1341 0.3659 0.5000
Co2 0.3659 0.8659 0.2318
Co3 0.6341 0.1341 0.7682
Co4 0.8659 0.6341 0.5000
Ag1 0.2500 0.2500 0.0000
Ag2 0.7500 0.7500 0.0000

Output
crystal system	tetragonal
symmetry	No. 140
ρ	7.761	g/cm³
formation enthalpy at 0 K	-0.142	eV/atom
final energy	-5.2377	eV per atom



Entry 9:
Here is crystalline RbNbOs at its relaxed geometry from the Open Quantum Materials Database. Energies are from PBE.

a b c (Å): 4.5423 4.5423 4.5423
angles (deg): 60.00 60.00 60.00
Element x y z (fractional)
Rb1 0.0000 0.0000 0.0000
Nb1 0.7500 0.7500 0.7500
Os1 0.2500 0.2500 0.2500

Output
crystal system	cubic
symmetry	No. 216
ρ	9.236	g/cm³
polymorph energy (0 for the lowest one)	1406	meV per atom
final energy	-4.2838	eV per atom



Entry 10:
Here is crystalline CsScRe at its relaxed geometry from the Open Quantum Materials Database. Energies are from PBE.

a b c (Å): 4.7647 4.7647 4.7647
angles (deg): 60.00 60.00 60.00
Element x y z (fractional)
Cs1 0.0000 0.0000 0.0000
Sc1 0.2500 0.2500 0.2500
Re1 0.7500 0.7500 0.7500

Output
crystal system	cubic
symmetry	No. 216
ρ	7.904	g/cm³
polymorph energy (0 for the lowest one)	729	meV per atom
final energy	-4.0705	eV per atom



Entry 11:
Here is crystalline ZnCuNiBi at its relaxed geometry from the Open Quantum Materials Database. Energies are from PBE.

a b c (Å): 4.5274 4.5274 4.5274
angles (deg): 60.00 60.00 60.00
Element x y z (fractional)
Zn1 0.0000 0.0000 0.0000
Cu1 0.2500 0.2500 0.2500
Ni1 0.7500 0.7500 0.7500
Bi1 0.5000 0.5000 0.5000

Output
crystal system	cubic
symmetry	No. 216
ρ	10.037	g/cm³
polymorph energy (0 for the lowest one)	0	meV per atom
final energy	-3.4499	eV per atom



Entry 12:
Here is crystalline TlAu15 at its relaxed geometry from the Open Quantum Materials Database. Energies are from PBE.

a b c (Å): 5.8430 4.0756 35.9648
angles (deg): 90.00 90.24 90.00
Element x y z (fractional)
Tl1 0.1273 0.2500 0.1704
Tl2 0.8727 0.7500 0.8296
Au1 0.1175 0.2500 0.7727
Au2 0.1222 0.2500 0.6873
Au3 0.1251 0.2500 0.3544
Au4 0.1248 0.2500 0.4375
Au5 0.1252 0.2500 0.5207
Au6 0.1251 0.2500 0.6039
Au7 0.1257 0.2500 0.2695
Au8 0.3711 0.7500 0.2274
Au9 0.3725 0.7500 0.3126
Au10 0.3730 0.7500 0.8074
Au11 0.3743 0.7500 0.7270
Au12 0.3748 0.7500 0.3961
Au13 0.3749 0.7500 0.4792
Au14 0.3750 0.7500 0.5625
Au15 0.3752 0.7500 0.6456
Au16 0.6248 0.2500 0.3544
Au17 0.6250 0.2500 0.4375
Au18 0.6251 0.2500 0.5208
Au19 0.6252 0.2500 0.6039
Au20 0.6257 0.2500 0.2730
Au21 0.6270 0.2500 0.1926
Au22 0.6275 0.2500 0.6874
Au23 0.6289 0.2500 0.7726
Au24 0.8743 0.7500 0.7305
Au25 0.8749 0.7500 0.3961
Au26 0.8748 0.7500 0.4793
Au27 0.8752 0.7500 0.5625
Au28 0.8749 0.7500 0.6456
Au29 0.8778 0.7500 0.3127
Au30 0.8825 0.7500 0.2273

Output
crystal system	monoclinic
symmetry	No. 11
ρ	12.249	g/cm³
polymorph energy (0 for the lowest one)	15	meV per atom
final energy	-3.1761	eV per atom



Entry 13:
Here is crystalline PrHoPO at its relaxed geometry from the Open Quantum Materials Database. Energies are from PBE.

a b c (Å): 4.1995 7.7342 5.4895
angles (deg): 90.00 90.00 90.00
Element x y z (fractional)
Pr1 0.0000 0.1336 0.0000
Pr2 0.0000 0.8664 0.5000
Ho1 0.5000 0.2958 0.4951
Ho2 0.5000 0.7042 0.9951
P1 0.5000 0.3569 0.9948
P2 0.5000 0.6431 0.4948
O1 0.0000 0.1804 0.4906
O2 0.0000 0.8196 0.9906

Output
crystal system	orthorhombic
symmetry	No. 26
ρ	6.572	g/cm³
polymorph energy (0 for the lowest one)	53	meV per atom
final energy	-6.8785	eV per atom



Entry 14:
Here is crystalline NiAsPtW at its relaxed geometry from the Open Quantum Materials Database. Energies are from PBE.

a b c (Å): 4.4130 4.4130 4.4130
angles (deg): 60.00 60.00 60.00
Element x y z (fractional)
Ni1 0.0000 0.0000 0.0000
As1 0.7500 0.7500 0.7500
Pt1 0.5000 0.5000 0.5000
W1 0.2500 0.2500 0.2500

Output
crystal system	cubic
symmetry	No. 216
ρ	14.006	g/cm³
final energy	-6.8953	eV per atom



Entry 15:
Here is crystalline Sc2Si4W3 at its relaxed geometry from the Open Quantum Materials Database. Energies are from PBE.

a b c (Å): 6.5605 12.6661 6.7926
angles (deg): 90.00 90.00 90.00
Element x y z (fractional)
Sc1 0.0050 0.0914 0.1700
Sc2 0.0050 0.4086 0.1700
Sc3 0.4950 0.5914 0.6700
Sc4 0.4950 0.9086 0.6700
Sc5 0.5050 0.0914 0.3300
Sc6 0.5050 0.4086 0.3300
Sc7 0.9950 0.5914 0.8300
Sc8 0.9950 0.9086 0.8300
Si1 0.0322 0.2500 0.8806
Si2 0.1671 0.0442 0.5381
Si3 0.1671 0.4558 0.5381
Si4 0.2009 0.7500 0.6438
Si5 0.2991 0.2500 0.1438
Si6 0.3329 0.5442 0.0381
Si7 0.3329 0.9558 0.0381
Si8 0.4678 0.7500 0.3806
Si9 0.5322 0.2500 0.6194
Si10 0.6671 0.0442 0.9619
Si11 0.6671 0.4558 0.9619
Si12 0.7009 0.7500 0.8562
Si13 0.7991 0.2500 0.3562
Si14 0.8329 0.5442 0.4619
Si15 0.8329 0.9558 0.4619
Si16 0.9678 0.7500 0.1194
W1 0.1634 0.2500 0.4970
W2 0.1705 0.6240 0.3364
W3 0.1705 0.8760 0.3364
W4 0.3295 0.1240 0.8364
W5 0.3295 0.3760 0.8364
W6 0.3366 0.7500 0.9970
W7 0.6634 0.2500 0.0030
W8 0.6705 0.6240 0.1636
W9 0.6705 0.8760 0.1636
W10 0.8295 0.1240 0.6636
W11 0.8295 0.3760 0.6636
W12 0.8366 0.7500 0.5030

Output
crystal system	orthorhombic
symmetry	No. 62
ρ	8.870	g/cm³
final energy	-8.7312	eV per atom



Entry 16:
Here is crystalline Li4ZrSiO6 at its relaxed geometry from the Open Quantum Materials Database. Energies are from PBE.

a b c (Å): 5.1375 5.1375 5.0320
angles (deg): 99.18 99.18 120.57
Element x y z (fractional)
Li1 0.0000 0.0000 0.0000
Li2 0.3785 0.6215 0.0000
Li3 0.6776 0.3224 0.0000
Li4 0.8496 0.1504 0.5000
Zr1 0.1846 0.8154 0.5000
Si1 0.5169 0.4831 0.5000
O1 0.1533 0.4168 0.2731
O2 0.2960 0.2591 0.7180
O3 0.4371 0.1198 0.2739
O4 0.5832 0.8467 0.7269
O5 0.7409 0.7040 0.2820
O6 0.8802 0.5629 0.7261

Output
crystal system	monoclinic
symmetry	No. 5
ρ	3.728	g/cm³
final energy	-6.7794	eV per atom



Entry 17:
Here is crystalline CsTaSn at its relaxed geometry from the Open Quantum Materials Database. Energies are from PBE.

a b c (Å): 5.1189 5.1189 5.1189
angles (deg): 60.00 60.00 60.00
Element x y z (fractional)
Cs1 0.0000 0.0000 0.0000
Ta1 0.2500 0.2500 0.2500
Sn1 0.5000 0.5000 0.5000

Output
crystal system	cubic
symmetry	No. 216
ρ	7.573	g/cm³
polymorph energy (0 for the lowest one)	0	meV per atom
final energy	-4.1974	eV per atom



Entry 18:
Here is crystalline Nd5Tl4In at its relaxed geometry from the Open Quantum Materials Database. Energies are from PBE.

a b c (Å): 3.8836 3.8836 19.5180
angles (deg): 90.00 90.00 90.00
Element x y z (fractional)
Nd1 0.0000 0.0000 0.0000
Nd2 0.0000 0.0000 0.2009
Nd3 0.0000 0.0000 0.4016
Nd4 0.0000 0.0000 0.5984
Nd5 0.0000 0.0000 0.7991
Tl1 0.5000 0.5000 0.1005
Tl2 0.5000 0.5000 0.3011
Tl3 0.5000 0.5000 0.6989
Tl4 0.5000 0.5000 0.8995
In1 0.5000 0.5000 0.5000

Output
crystal system	tetragonal
symmetry	No. 123
ρ	9.327	g/cm³
final energy	-4.0148	eV per atom



Entry 19:
Here is crystalline PuTcBi at its relaxed geometry from the Open Quantum Materials Database. Energies are from PBE.

a b c (Å): 4.7305 4.7305 4.7305
angles (deg): 60.00 60.00 60.00
Element x y z (fractional)
Pu1 0.0000 0.0000 0.0000
Tc1 0.5000 0.5000 0.5000
Bi1 0.2500 0.2500 0.2500

Output
crystal system	cubic
symmetry	No. 216
ρ	12.223	g/cm³
polymorph energy (0 for the lowest one)	0	meV per atom
final energy	-8.7860	eV per atom



Entry 20:
Here is crystalline InSnAuSe3 at its relaxed geometry from the Open Quantum Materials Database. Energies are from PBE.

a b c (Å): 7.2085 7.2085 10.7131
angles (deg): 90.00 90.00 148.78
Element x y z (fractional)
In1 0.2330 0.7670 0.7500
In2 0.7670 0.2330 0.2500
Sn1 0.0000 0.0000 0.0000
Sn2 0.0000 0.0000 0.5000
Au1 0.4775 0.5225 0.2500
Au2 0.5225 0.4775 0.7500
Se1 0.1132 0.8868 0.2500
Se2 0.3443 0.6557 0.0713
Se3 0.3443 0.6557 0.4287
Se4 0.6557 0.3443 0.5713
Se5 0.6557 0.3443 0.9287
Se6 0.8868 0.1132 0.7500

Output
crystal system	orthorhombic
symmetry	No. 63
ρ	7.681	g/cm³
polymorph energy (0 for the lowest one)	193	meV per atom
final energy	-3.5830	eV per atom



Entry 21:
Here is crystalline Cu4Ag at its relaxed geometry from the Open Quantum Materials Database. Energies are from PBE.

a b c (Å): 4.5504 2.6893 10.7636
angles (deg): 90.00 96.80 90.00
Element x y z (fractional)
Cu1 0.0480 0.2500 0.4068
Cu2 0.2623 0.2500 0.9936
Cu3 0.3472 0.7500 0.7949
Cu4 0.4432 0.2500 0.5953
Cu5 0.5568 0.7500 0.4047
Cu6 0.6528 0.2500 0.2051
Cu7 0.7377 0.7500 0.0064
Cu8 0.9520 0.7500 0.5932
Ag1 0.1534 0.7500 0.2005
Ag2 0.8466 0.2500 0.7995

Output
crystal system	monoclinic
symmetry	No. 11
ρ	9.193	g/cm³
formation enthalpy at 0 K	0.079	eV/atom
polymorph energy (0 for the lowest one)	35	meV per atom
final energy	-3.4595	eV per atom



Entry 22:
Here is crystalline Tb2HoZn4Si4 at its relaxed geometry from the Open Quantum Materials Database. Energies are from PBE.

a b c (Å): 12.6196 12.6196 12.6196
angles (deg): 161.69 161.31 26.28
Element x y z (fractional)
Tb1 0.1436 0.1436 0.0000
Tb2 0.8564 0.8564 0.0000
Ho1 0.5000 0.0000 0.5000
Zn1 0.2496 0.7496 0.5000
Zn2 0.4061 0.4061 0.0000
Zn3 0.5939 0.5939 0.0000
Zn4 0.7504 0.2504 0.5000
Si1 0.0473 0.5473 0.5000
Si2 0.3106 0.3106 0.0000
Si3 0.6894 0.6894 0.0000
Si4 0.9527 0.4527 0.5000

Output
crystal system	orthorhombic
symmetry	No. 71
ρ	7.034	g/cm³
final energy	-4.2279	eV per atom